1.
VASP calculation (PBE) on a geometry-optimized Sm3Mg2Hg3 structure.

Lattice parameters (Å, degrees): 10.948 10.948 10.948 159.94 151.88 34.78
Sites, in units of the cell vectors:
Sm  0.000  0.000  0.000
Sm  0.374  0.874  0.500
Sm  0.626  0.126  0.500
Mg  0.238  0.238  0.000
Mg  0.762  0.762  0.000
Hg  0.129  0.629  0.500
Hg  0.500  0.500  0.000
Hg  0.871  0.371  0.500

Summary:
* energy above the lowest structure with this stoichiometry: 53 meV/atom
* ΔH_f (0 K): -0.33 eV/atom

---

2.
VASP calculation (PBE) on a geometry-optimized Sm2MgHg structure.

Lattice parameters (Å, degrees): 3.834 3.834 7.548 90.00 90.00 90.00
Sites, in units of the cell vectors:
Sm  0.000  0.000  0.248
Sm  0.000  0.000  0.752
Mg  0.500  0.500  0.500
Hg  0.500  0.500  0.000

Summary:
* energy above the lowest structure with this stoichiometry: 6 meV/atom
* ΔH_f (0 K): -0.29 eV/atom

---

3.
VASP calculation (PBE) on a geometry-optimized Sm3Mg4Hg4 structure.

Lattice parameters (Å, degrees): 8.980 8.980 8.980 150.77 128.20 60.59
Sites, in units of the cell vectors:
Sm  0.000  0.000  0.000
Sm  0.383  0.883  0.500
Sm  0.617  0.117  0.500
Mg  0.019  0.326  0.693
Mg  0.366  0.674  0.693
Mg  0.634  0.326  0.307
Mg  0.981  0.674  0.307
Hg  0.224  0.224  0.000
Hg  0.300  0.500  0.800
Hg  0.700  0.500  0.200
Hg  0.776  0.776  0.000

Summary:
* ΔH_f (0 K): -0.35 eV/atom

---

4.
VASP calculation (PBE) on a geometry-optimized Sm3Mg2Hg4 structure.

Lattice parameters (Å, degrees): 6.133 6.133 9.319 117.38 117.38 48.23
Sites, in units of the cell vectors:
Sm  0.000  0.000  0.000
Sm  0.341  0.341  0.325
Sm  0.659  0.659  0.675
Mg  0.375  0.375  0.705
Mg  0.625  0.625  0.295
Hg  0.067  0.067  0.393
Hg  0.289  0.289  0.944
Hg  0.711  0.711  0.056
Hg  0.933  0.933  0.607

Summary:
* ΔH_f (0 K): -0.39 eV/atom

---

Q: Among the records above, which one has the lowest ΔH_f (0 K)?
A: Sm3Mg2Hg4